(1)
PBE TbZn4Ag, relaxed; E above lowest polymorph = 21 meV per atom; total magnetization = 0.0 μB per formula unit; energy relative to the elements = -0.173 eV/atom; calculated total energy = -2.27 eV/atom
1.0
8.244 0.000 0.000
0.000 16.540 0.000
0.000 0.000 3.260
Tb Zn Ag
4 16 4
direct
0.122 0.158 0.000
0.378 0.658 0.000
0.622 0.342 0.000
0.878 0.842 0.000
0.032 0.695 0.500
0.118 0.957 0.500
0.139 0.551 0.500
0.216 0.809 0.500
0.284 0.309 0.500
0.361 0.051 0.500
0.382 0.457 0.500
0.468 0.195 0.500
0.532 0.805 0.500
0.618 0.543 0.500
0.639 0.949 0.500
0.716 0.691 0.500
0.784 0.191 0.500
0.861 0.449 0.500
0.882 0.043 0.500
0.968 0.305 0.500
0.124 0.416 0.000
0.376 0.916 0.000
0.624 0.084 0.000
0.876 0.584 0.000



(2)
PBE TbZn4Ag, relaxed; E above lowest polymorph = 0 meV per atom; total magnetization = 0.0 μB per formula unit; energy relative to the elements = -0.193 eV/atom; calculated total energy = -2.29 eV/atom
1.0
2.032 -8.251 0.000
2.032 8.251 0.000
0.000 0.000 6.606
Tb Zn Ag
2 8 2
direct
0.112 0.888 0.750
0.888 0.112 0.250
0.071 0.929 0.250
0.339 0.661 0.556
0.339 0.661 0.944
0.500 0.500 0.000
0.500 0.500 0.500
0.661 0.339 0.056
0.661 0.339 0.444
0.929 0.071 0.750
0.237 0.763 0.250
0.763 0.237 0.750



(3)
PBE TbZn12Ag4, relaxed; total magnetization = 0.0 μB per formula unit; energy relative to the elements = 0.201 eV/atom; calculated total energy = -1.64 eV/atom
1.0
-4.424 4.424 4.424
4.424 -4.424 4.424
4.424 4.424 -4.424
Tb Zn Ag
1 12 4
direct
0.000 0.000 0.000
0.146 0.503 0.357
0.146 0.789 0.643
0.211 0.357 0.854
0.357 0.146 0.503
0.357 0.854 0.211
0.497 0.643 0.854
0.503 0.357 0.146
0.643 0.146 0.789
0.643 0.854 0.497
0.789 0.643 0.146
0.854 0.211 0.357
0.854 0.497 0.643
0.000 0.000 0.500
0.000 0.500 0.000
0.500 0.000 0.000
0.500 0.500 0.500



(4)
PBE Tb2Zn2Ag3, relaxed; E above lowest polymorph = 63 meV per atom; total magnetization = 0.0 μB per formula unit; energy relative to the elements = -0.220 eV/atom; calculated total energy = -3.13 eV/atom
1.0
2.123 -9.710 0.000
2.123 9.710 0.000
0.000 0.000 3.553
Tb Zn Ag
2 2 3
direct
0.155 0.845 0.000
0.845 0.155 0.000
0.285 0.715 0.500
0.715 0.285 0.500
0.000 0.000 0.000
0.428 0.572 0.500
0.572 0.428 0.500



(5)
PBE Tb6Zn2Ag, relaxed; E above lowest polymorph = 0 meV per atom; total magnetization = 0.0 μB per formula unit; energy relative to the elements = -0.174 eV/atom; calculated total energy = -3.86 eV/atom
1.0
-4.811 4.979 5.034
4.811 -4.979 5.034
4.811 4.979 -5.034
Tb Zn Ag
12 4 2
direct
0.038 0.216 0.822
0.252 0.303 0.554
0.252 0.697 0.949
0.265 0.588 0.322
0.265 0.943 0.678
0.394 0.216 0.178
0.606 0.784 0.822
0.735 0.057 0.322
0.735 0.412 0.678
0.748 0.303 0.051
0.748 0.697 0.446
0.962 0.784 0.178
0.000 0.137 0.137
0.000 0.863 0.863
0.374 0.000 0.374
0.626 0.000 0.626
0.000 0.500 0.500
0.500 0.500 0.000



(6)
PBE TbZnAg2, relaxed; total magnetization = 0.0 μB per formula unit; energy relative to the elements = -0.149 eV/atom; calculated total energy = -3.05 eV/atom
1.0
3.383 0.000 0.000
0.000 3.383 0.000
0.000 0.000 7.035
Tb Zn Ag
1 1 2
direct
0.000 0.000 0.000
0.000 0.000 0.500
0.500 0.500 0.290
0.500 0.500 0.710